# 1
! Sb3HIr SCAN PBEsol geometry; values from VASP
! - DOS at the Fermi energy: 0.701 states/eV/atom
! - E: -36.29 eV per atom
&SYSTEM
  ibrav = 0, nat = 5, ntyp = 3
/
ATOMIC_SPECIES
Sb 121.76 Sb.upf
H 1.01 H.upf
Ir 192.22 Ir.upf
CELL_PARAMETERS angstrom
5.1319 0.0000 0.0000
0.0000 5.1319 0.0000
0.0000 0.0000 5.1319
ATOMIC_POSITIONS angstrom
Sb 0.0000 0.0000 2.5659
Sb 0.0000 2.5659 0.0000
Sb 2.5659 0.0000 0.0000
H 2.5659 2.5659 2.5659
Ir 0.0000 0.0000 0.0000

***

# 2
! SiNiOs3 SCAN PBEsol geometry; values from VASP
! - DOS at the Fermi energy: 0.772 states/eV/atom
! - E: -46.83 eV per atom
&SYSTEM
  ibrav = 0, nat = 5, ntyp = 3
/
ATOMIC_SPECIES
Si 28.09 Si.upf
Ni 58.69 Ni.upf
Os 190.23 Os.upf
CELL_PARAMETERS angstrom
4.2973 0.0000 0.0000
0.0000 4.2973 0.0000
0.0000 0.0000 4.2973
ATOMIC_POSITIONS angstrom
Si 0.0000 0.0000 0.0000
Ni 2.1487 2.1487 2.1487
Os 0.0000 0.0000 2.1487
Os 0.0000 2.1487 0.0000
Os 2.1487 0.0000 0.0000

***

# 3
! AlRu SCAN PBEsol geometry; values from VASP
! - DOS at the Fermi energy: 0.782 states/eV/atom
! - E: -22.15 eV per atom
! - Energy relative to the elements: -856 meV per atom
&SYSTEM
  ibrav = 0, nat = 2, ntyp = 2
/
ATOMIC_SPECIES
Al 26.98 Al.upf
Ru 101.07 Ru.upf
CELL_PARAMETERS angstrom
2.9748 0.0000 0.0000
0.0000 2.9748 0.0000
0.0000 0.0000 2.9748
ATOMIC_POSITIONS angstrom
Al 0.0000 0.0000 0.0000
Ru 1.4874 1.4874 1.4874

***

# 4
! MoSCl3 SCAN PBEsol geometry; values from VASP
! - DOS at the Fermi energy: 1.054 states/eV/atom
! - E: -13.02 eV per atom
&SYSTEM
  ibrav = 0, nat = 5, ntyp = 3
/
ATOMIC_SPECIES
Mo 95.94 Mo.upf
S 32.06 S.upf
Cl 35.45 Cl.upf
CELL_PARAMETERS angstrom
4.8101 0.0000 0.0000
0.0000 4.8101 0.0000
0.0000 0.0000 4.8101
ATOMIC_POSITIONS angstrom
Mo 0.0000 0.0000 0.0000
S 2.4051 2.4051 2.4051
Cl 0.0000 2.4051 2.4051
Cl 2.4051 0.0000 2.4051
Cl 2.4051 2.4051 0.0000

***

# 5
! KHg2Pt SCAN PBEsol geometry; values from VASP
! - DOS at the Fermi energy: 0.267 states/eV/atom
! - E: -53.59 eV per atom
! - Energy relative to the elements: 127 meV per atom
! - ΔE to the lowest computed polymorph: 0.126 eV/atom
&SYSTEM
  ibrav = 0, nat = 4, ntyp = 3
/
ATOMIC_SPECIES
K 39.10 K.upf
Hg 200.59 Hg.upf
Pt 195.08 Pt.upf
CELL_PARAMETERS angstrom
3.2210 -4.8809 0.0000
3.2210 4.8809 0.0000
-1.1805 0.0000 2.7429
ATOMIC_POSITIONS angstrom
K 0.0000 0.0000 0.0000
Hg 1.0202 2.4404 1.3714
Hg 1.0202 -2.4404 1.3714
Pt 3.2210 0.0000 0.0000

***

# 6
! Ni2AgRh SCAN PBEsol geometry; values from VASP
! - DOS at the Fermi energy: 0.684 states/eV/atom
! - E: -24.21 eV per atom
! - Energy relative to the elements: 157 meV per atom
&SYSTEM
  ibrav = 0, nat = 4, ntyp = 3
/
ATOMIC_SPECIES
Ni 58.69 Ni.upf
Ag 107.87 Ag.upf
Rh 102.91 Rh.upf
CELL_PARAMETERS angstrom
2.6574 0.0000 0.0000
0.0000 2.6574 0.0000
0.0000 0.0000 7.2490
ATOMIC_POSITIONS angstrom
Ni 0.0000 0.0000 1.7001
Ni 0.0000 0.0000 5.5488
Ag 1.3287 1.3287 3.6245
Rh 1.3287 1.3287 0.0000

***

# 7
! Li7Cd SCAN PBEsol geometry; values from VASP
! - DOS at the Fermi energy: 0.432 states/eV/atom
! - E: -6.00 eV per atom
! - Energy relative to the elements: -109 meV per atom
&SYSTEM
  ibrav = 0, nat = 8, ntyp = 2
/
ATOMIC_SPECIES
Li 6.94 Li.upf
Cd 112.41 Cd.upf
CELL_PARAMETERS angstrom
0.0000 4.1907 4.1907
4.1907 0.0000 4.1907
4.1907 4.1907 0.0000
ATOMIC_POSITIONS angstrom
Li 0.0000 0.0000 0.0000
Li 2.0954 2.0954 0.0000
Li 2.0954 0.0000 2.0954
Li 4.1907 2.0954 2.0954
Li 0.0000 2.0954 2.0954
Li 2.0954 4.1907 2.0954
Li 2.0954 2.0954 4.1907
Cd 4.1907 4.1907 4.1907

***

# 8
! BaSr2Be SCAN PBEsol geometry; values from VASP
! - DOS at the Fermi energy: 1.085 states/eV/atom
! - E: -21.75 eV per atom
! - Energy relative to the elements: 361 meV per atom
&SYSTEM
  ibrav = 0, nat = 4, ntyp = 3
/
ATOMIC_SPECIES
Ba 137.33 Ba.upf
Sr 87.62 Sr.upf
Be 9.01 Be.upf
CELL_PARAMETERS angstrom
2.1796 1.2584 10.9211
-2.1796 1.2584 10.9211
0.0000 -2.5167 10.9211
ATOMIC_POSITIONS angstrom
Ba 0.0000 0.0000 0.0000
Sr 0.0000 0.0000 7.2557
Sr 0.0000 0.0000 25.5075
Be 0.0000 0.0000 16.3816

***

# 9
! KIr2Rh SCAN PBEsol geometry; values from VASP
! - DOS at the Fermi energy: 0.949 states/eV/atom
! - E: -44.91 eV per atom
! - Energy relative to the elements: 1169 meV per atom
! - ΔE to the lowest computed polymorph: 0.563 eV/atom
&SYSTEM
  ibrav = 0, nat = 4, ntyp = 3
/
ATOMIC_SPECIES
K 39.10 K.upf
Ir 192.22 Ir.upf
Rh 102.91 Rh.upf
CELL_PARAMETERS angstrom
-1.9779 1.9779 4.0866
1.9779 -1.9779 4.0866
1.9779 1.9779 -4.0866
ATOMIC_POSITIONS angstrom
K 0.0000 0.0000 0.0000
Ir 1.9779 0.0000 2.0433
Ir 0.0000 1.9779 2.0433
Rh 0.0000 0.0000 4.0866

***

# 10
! ZrCu2Ni SCAN PBEsol geometry; values from VASP
! - DOS at the Fermi energy: 0.453 states/eV/atom
! - E: -19.22 eV per atom
! - Energy relative to the elements: 97 meV per atom
&SYSTEM
  ibrav = 0, nat = 4, ntyp = 3
/
ATOMIC_SPECIES
Zr 91.22 Zr.upf
Cu 63.55 Cu.upf
Ni 58.69 Ni.upf
CELL_PARAMETERS angstrom
2.5261 -3.8786 0.0000
2.5261 3.8786 0.0000
0.0000 0.0000 2.8005
ATOMIC_POSITIONS angstrom
Zr 0.0000 0.0000 0.0000
Cu 1.2630 1.9393 1.4002
Cu 1.2630 -1.9393 1.4002
Ni 2.5261 0.0000 0.0000

***

# 11
! Sr3HoRhO6 SCAN PBEsol geometry; values from VASP
! - DOS at the Fermi energy: 0.000 states/eV/atom
! - E: -19.88 eV per atom
&SYSTEM
  ibrav = 0, nat = 22, ntyp = 4
/
ATOMIC_SPECIES
Sr 87.62 Sr.upf
Ho 164.93 Ho.upf
Rh 102.91 Rh.upf
O 16.00 O.upf
CELL_PARAMETERS angstrom
4.8532 2.8020 3.7431
-4.8532 2.8020 3.7431
0.0000 -5.6040 3.7431
ATOMIC_POSITIONS angstrom
Sr -3.0627 0.2993 4.6788
Sr -1.7905 -2.5027 6.5504
Sr 1.2721 -2.8020 4.6788
Sr -1.2721 2.8020 6.5504
Sr 1.7905 2.5027 4.6789
Sr 3.0627 -0.2993 6.5504
Ho 0.0000 0.0000 2.8073
Ho 0.0000 0.0000 8.4219
Rh 0.0000 0.0000 0.0000
Rh 0.0000 0.0000 5.6146
O -4.2006 -1.3014 6.2220
O -0.9732 -4.2885 5.0073
O -0.9732 -1.3155 4.3504
O -3.2274 2.9871 5.0073
O -0.6526 1.5006 4.3504
O -1.6258 0.1851 6.8788
O 1.6258 -0.1851 4.3504
O 0.6526 -1.5006 6.8788
O 3.2274 -2.9871 6.2220
O 0.9732 1.3155 6.8788
O 0.9732 4.2885 6.2220
O 4.2006 1.3015 5.0073

***

# 12
! Mg5Tl3 SCAN PBEsol geometry; values from VASP
! - DOS at the Fermi energy: 0.356 states/eV/atom
! - E: -30.37 eV per atom
! - Energy relative to the elements: -125 meV per atom
! - ΔE to the lowest computed polymorph: 0.022 eV/atom
&SYSTEM
  ibrav = 0, nat = 16, ntyp = 2
/
ATOMIC_SPECIES
Mg 24.30 Mg.upf
Tl 204.38 Tl.upf
CELL_PARAMETERS angstrom
-5.6127 5.6127 2.9982
5.6127 -5.6127 2.9982
5.6127 5.6127 -2.9982
ATOMIC_POSITIONS angstrom
Mg 8.6564 0.8287 0.0000
Mg 0.8287 2.5690 0.0000
Mg 5.6127 0.0000 1.4991
Mg 6.4414 3.0437 0.0000
Mg 3.0437 4.7840 0.0000
Mg 2.5690 0.8287 2.9982
Mg -0.8287 2.5690 2.9982
Mg 0.0000 5.6127 1.4991
Mg 4.7840 3.0437 2.9982
Mg -3.0437 4.7840 2.9982
Tl 3.7146 1.8981 0.0000
Tl 0.0000 0.0000 1.4991
Tl 3.7146 -1.8981 2.9982
Tl 1.8981 7.5107 0.0000
Tl 0.0000 0.0000 4.4973
Tl 1.8981 3.7146 2.9982

***

Number 1: M_tot 0.00 μB per formula unit. Number 2: M_tot 0.01 μB per formula unit. Number 3: M_tot 0.00 μB per formula unit. Number 4: M_tot 4.81 μB per formula unit. Number 5: M_tot 0.00 μB per formula unit. Number 6: M_tot 2.36 μB per formula unit. Number 7: M_tot 0.33 μB per formula unit. Number 8: M_tot 0.20 μB per formula unit. Number 9: M_tot 0.00 μB per formula unit. Number 10: M_tot 0.00 μB per formula unit. Number 11: M_tot 0.00 μB per formula unit. Number 12: M_tot 0.00 μB per formula unit.